Entry 1:
Below is a relaxed structure of MgFeRu2, with properties calculated at the PBE-GGA level.

abc: 2.7244 4.2081 5.0992
angles: 90.00 101.25 90.00
Last column: nearest neighbours and their distance in Å.
Sites, in units of the cell vectors:
Mg  0.0000  0.0000  0.0000  2 Fe 2.65, 2 Mg 2.72, 8 Ru 2.73-2.95
Fe  0.5000  0.0000  0.5000  4 Ru 2.52, 2 Mg 2.65, 2 Fe 2.72
Ru  0.3207  0.5000  0.7356  2 Fe 2.52, 5 Ru 2.68-2.77, 2 Mg 2.73
Ru  0.6793  0.5000  0.2643  2 Fe 2.52, 5 Ru 2.68-2.77, 2 Mg 2.73

## Properties
As for the theoretical density: 8.2 g cm⁻³. The value obtained for the density of states at the Fermi level is 4.4 states/eV/cell. For the formation energy, the calculation gives 0.19 eV/atom. Its symmetry is No. 10. For the calculated volume, the calculation gives 14.335 Å³/atom.

Entry 2:
Below is a relaxed structure of MgFeRu2, with properties calculated at the PBE-GGA level.

abc: 2.9417 4.2924 4.4917
angles: 90.00 90.00 90.00
Last column: nearest neighbours and their distance in Å.
Sites, in units of the cell vectors:
Mg  0.0000  0.0000  0.0000  4 Ru 2.60, 4 Fe 2.68
Fe  0.5000  0.0000  0.5000  4 Ru 2.60, 4 Mg 2.68
Ru  0.0000  0.5000  0.5000  4 Fe 2.60, 4 Ru 2.68
Ru  0.5000  0.5000  0.0000  4 Mg 2.60, 4 Ru 2.68

## Properties
As for the theoretical density: 8.3 g cm⁻³. The value obtained for the density of states at the Fermi level is 5.0 states/eV/cell. For the formation energy, the calculation gives 0.25 eV/atom. Its symmetry is No. 47. For the calculated volume, the calculation gives 14.179 Å³/atom.

Entry 3:
Below is a relaxed structure of Mg2FeRu, with properties calculated at the PBE-GGA level.

abc: 9.0995 9.0995 9.0995
angles: 17.81 17.81 17.81
Last column: nearest neighbours and their distance in Å.
Sites, in units of the cell vectors:
Mg  0.2503  0.2503  0.2503  3 Ru 2.76, 3 Fe 2.77, 6 Mg 2.82
Mg  0.7497  0.7497  0.7497  3 Ru 2.76, 3 Fe 2.77, 6 Mg 2.82
Fe  0.5000  0.5000  0.5000  6 Mg 2.77, 6 Fe 2.82
Ru  0.0000  0.0000  0.0000  6 Mg 2.76, 6 Ru 2.82

## Properties
As for the theoretical density: 5.5 g cm⁻³. The value obtained for the density of states at the Fermi level is 4.1 states/eV/cell. For the formation energy, the calculation gives 0.23 eV/atom. Its symmetry is No. 166. For the energy above the lowest structure with this stoichiometry, the calculation gives 176 meV per atom. For the calculated volume, the calculation gives 15.389 Å³/atom.

Entry 4:
Below is a relaxed structure of MgFeRu2, with properties calculated at the PBE-GGA level.

abc: 4.7562 4.7562 4.7562
angles: 133.27 133.27 68.24
Last column: nearest neighbours and their distance in Å.
Sites, in units of the cell vectors:
Mg  0.0000  0.0000  0.0000  8 Ru 2.67-2.73, 4 Fe 2.73
Fe  0.7500  0.2500  0.5000  8 Ru 2.67-2.73, 4 Mg 2.73
Ru  0.2500  0.7500  0.5000  4 Fe 2.67, 4 Mg 2.73, 4 Ru 2.73
Ru  0.5000  0.5000  0.0000  4 Mg 2.67, 4 Fe 2.73, 4 Ru 2.73

## Properties
As for the theoretical density: 8.4 g cm⁻³. The value obtained for the density of states at the Fermi level is 4.0 states/eV/cell. For the formation energy, the calculation gives 0.18 eV/atom. Its symmetry is No. 119. For the calculated volume, the calculation gives 14.012 Å³/atom.

Entry 5:
Below is a relaxed structure of Mg2FeRu, with properties calculated at the PBE-GGA level.

abc: 2.7669 2.7669 8.1023
angles: 90.00 90.00 90.00
Last column: nearest neighbours and their distance in Å.
Sites, in units of the cell vectors:
Mg  0.0000  0.0000  0.2496  4 Mg 2.77, 4 Fe 2.81, 4 Ru 2.82
Mg  0.0000  0.0000  0.7504  4 Mg 2.77, 4 Fe 2.81, 4 Ru 2.82
Fe  0.5000  0.5000  0.0000  4 Fe 2.77, 8 Mg 2.81
Ru  0.5000  0.5000  0.5000  4 Ru 2.77, 8 Mg 2.82

## Properties
As for the theoretical density: 5.5 g cm⁻³. The value obtained for the density of states at the Fermi level is 3.9 states/eV/cell. For the formation energy, the calculation gives 0.24 eV/atom. Its symmetry is No. 123. For the energy above the lowest structure with this stoichiometry, the calculation gives 179 meV per atom. For the calculated volume, the calculation gives 15.508 Å³/atom.

Entry 6:
Below is a relaxed structure of MgFeRu2, with properties calculated at the PBE-GGA level.

abc: 5.0515 5.0515 5.0515
angles: 144.97 130.14 62.39
Last column: nearest neighbours and their distance in Å.
Sites, in units of the cell vectors:
Mg  0.0000  0.0000  0.0000  6 Ru 2.62-2.71, 2 Fe 2.68
Fe  0.7452  0.2452  0.5000  6 Ru 2.54-2.62, 2 Mg 2.68
Ru  0.2602  0.7602  0.5000  4 Fe 2.62, 2 Ru 2.64, 2 Mg 2.71
Ru  0.5094  0.5094  0.0000  2 Fe 2.54, 4 Mg 2.62, 2 Ru 2.64

## Properties
As for the theoretical density: 8.4 g cm⁻³. The value obtained for the density of states at the Fermi level is 3.3 states/eV/cell. For the formation energy, the calculation gives 0.13 eV/atom. Its symmetry is No. 44. For the calculated volume, the calculation gives 13.987 Å³/atom.

Entry 7:
Below is a relaxed structure of Mg2Fe2Ru, with properties calculated at the PBE-GGA level.

abc: 6.6209 6.6209 6.6209
angles: 148.20 148.20 45.58
Last column: nearest neighbours and their distance in Å.
Sites, in units of the cell vectors:
Mg  0.2500  0.7500  0.5000  4 Mg 2.56, 4 Fe 2.70
Mg  0.7500  0.2500  0.5000  4 Mg 2.56, 4 Fe 2.70
Fe  0.0859  0.0859  0.0000  1 Fe 2.10
Fe  0.9141  0.9141  0.0000  1 Fe 2.10
Ru  0.5000  0.5000  0.0000  8 Fe 2.77

## Properties
As for the theoretical density: 5.4 g cm⁻³. The value obtained for the density of states at the Fermi level is 3.3 states/eV/cell. For the formation energy, the calculation gives 0.77 eV/atom. Its symmetry is No. 139. For the energy above the lowest structure with this stoichiometry, the calculation gives 484 meV per atom. For the calculated volume, the calculation gives 16.062 Å³/atom.

Entry 8:
Below is a relaxed structure of Mg2FeRu, with properties calculated at the PBE-GGA level.

abc: 2.7350 2.7350 8.8391
angles: 90.00 90.00 111.13
Last column: nearest neighbours and their distance in Å.
Sites, in units of the cell vectors:
Mg  0.0000  0.0000  0.2494  2 Ru 2.69, 2 Fe 2.70, 4 Mg 2.73
Mg  0.0000  0.0000  0.7506  2 Ru 2.69, 2 Fe 2.70, 4 Mg 2.73
Fe  0.5000  0.5000  0.5000  4 Mg 2.70, 4 Fe 2.73
Ru  0.5000  0.5000  0.0000  4 Mg 2.69, 4 Ru 2.73

## Properties
As for the theoretical density: 5.5 g cm⁻³. The value obtained for the density of states at the Fermi level is 3.3 states/eV/cell. For the formation energy, the calculation gives 0.24 eV/atom. Its symmetry is No. 65. For the energy above the lowest structure with this stoichiometry, the calculation gives 183 meV per atom. For the calculated volume, the calculation gives 15.418 Å³/atom.